Entry 1:
# NbCuBr, optimized geometry, DFT PBE
# Formation energy (no corrections), eV per atom: 0.1793
# Density of states at the Fermi level, states/eV/f.u.: 3.3
# Total DFT energy (no corrections), eV per cell: -61.204
data_NbCuBr
_cell_length_a 14.1091
_cell_length_b 3.2631
_cell_length_c 5.4165
_cell_angle_alpha 90.00
_cell_angle_beta 90.00
_cell_angle_gamma 90.00
_space_group_name_H-M_alt 'A m m 2'
_space_group_IT_number 38
_space_group_name_Hall 'A 2 -2'
loop_
_atom_site_label
_atom_site_type_symbol
_atom_site_fract_x
_atom_site_fract_y
_atom_site_fract_z
Nb1 Nb 0.1418 0.0000 0.0000
Cu1 Cu 0.0000 0.0000 0.6483
Cu2 Cu 0.5000 0.0000 0.6548
Br1 Br 0.2746 0.0000 0.6609

=====

Entry 2:
# NbCuBr3, optimized geometry, DFT PBE
# Formation energy (no corrections), eV per atom: 0.4474
# Density of states at the Fermi level, states/eV/f.u.: 5.7
# Total DFT energy (no corrections), eV per cell: -16.948
data_NbCuBr3
_cell_length_a 5.0020
_cell_length_b 5.0020
_cell_length_c 5.0020
_cell_angle_alpha 90.00
_cell_angle_beta 90.00
_cell_angle_gamma 90.00
_space_group_name_H-M_alt 'P m -3 m'
_space_group_IT_number 221
_space_group_name_Hall '-P 4 2 3'
loop_
_atom_site_label
_atom_site_type_symbol
_atom_site_fract_x
_atom_site_fract_y
_atom_site_fract_z
Nb1 Nb 0.0000 0.0000 0.0000
Cu1 Cu 0.5000 0.5000 0.5000
Br1 Br 0.0000 0.5000 0.5000

=====

Repeat the second record exactly.
# NbCuBr3, optimized geometry, DFT PBE
# Formation energy (no corrections), eV per atom: 0.4474
# Density of states at the Fermi level, states/eV/f.u.: 5.7
# Total DFT energy (no corrections), eV per cell: -16.948
data_NbCuBr3
_cell_length_a 5.0020
_cell_length_b 5.0020
_cell_length_c 5.0020
_cell_angle_alpha 90.00
_cell_angle_beta 90.00
_cell_angle_gamma 90.00
_space_group_name_H-M_alt 'P m -3 m'
_space_group_IT_number 221
_space_group_name_Hall '-P 4 2 3'
loop_
_atom_site_label
_atom_site_type_symbol
_atom_site_fract_x
_atom_site_fract_y
_atom_site_fract_z
Nb1 Nb 0.0000 0.0000 0.0000
Cu1 Cu 0.5000 0.5000 0.5000
Br1 Br 0.0000 0.5000 0.5000